(1)
VASP calculation (PBE) on BaHfSe3 after structural relaxation.

Cell: 7.2649 12.5357 6.5158 Å, 90.00 100.54 90.00°
Closest atoms and distances in Å follow each position.
Space group C2/c (No. 15)
Symmetry-distinct sites (fractional):
Ba1 0.0000 0.1762 0.2500 [4 per cell]  6 Se 3.32-3.63
Hf1 0.0000 0.5000 0.0000 [4 per cell]  6 Se 2.68-2.69
Se1 0.0000 0.3294 0.7500 [4 per cell]  2 Hf 2.69
Se2 0.2409 0.0838 0.6973 [8 per cell]  2 Hf 2.68

Summary:
Size of the total moment (μB per formula unit): 0.000
Raw total energy (eV for the cell shown): -121.9
ΔE_f (raw) (eV per atom): -1.6290

=====

(2)
VASP calculation (PBE) on Pm3Tl4CrSe8 after structural relaxation.

Cell: 8.3565 8.3565 23.2308 Å, 90.00 90.00 120.00°
Closest atoms and distances in Å follow each position.
Space group R-3m (No. 166, hexagonal axes)
Symmetry-distinct sites (fractional):
Pm1 0.0000 0.5000 0.0000 [9 per cell]  6 Se 2.93-2.95
Tl1 0.0000 0.0000 0.5000 [3 per cell]  6 Se 3.51
Tl2 0.0000 0.5000 0.5000 [9 per cell]  6 Se 3.28-3.29
Cr1 0.0000 0.0000 0.0000 [3 per cell]  6 Se 2.69
Se1 0.0000 0.0000 0.2620 [6 per cell]  3 Pm 2.93, 3 Tl 3.28
Se2 0.0279 0.5140 0.7328 [18 per cell]  1 Cr 2.69, 2 Pm 2.95

Summary:
Size of the total moment (μB per formula unit): 3.021
Raw total energy (eV for the cell shown): -236.5
ΔE_f (raw) (eV per atom): -1.1006

=====

(3)
VASP calculation (PBE) on MgB3Ir6 after structural relaxation.

Cell: 5.3332 5.3860 5.5483 Å, 87.75 71.28 60.56°
Closest atoms and distances in Å follow each position.
Space group P1 (No. 1)
Symmetry-distinct sites (fractional):
Mg1 0.0000 0.0000 0.0000 [1 per cell]  1 B 2.46, 3 Ir 2.68-2.72
B1 0.1745 0.9219 0.5276 [1 per cell]  5 Ir 2.21-2.31, 1 Mg 2.46
B2 0.3819 0.2795 0.8861 [1 per cell]  5 Ir 2.08-2.19
B3 0.6742 0.6604 0.8926 [1 per cell]  6 Ir 2.14-2.21
Ir1 0.1262 0.3373 0.6395 [1 per cell]  3 B 2.14-2.21
Ir2 0.3649 0.5717 0.2081 [1 per cell]  3 B 2.21-2.38
Ir3 0.4517 0.0355 0.1836 [1 per cell]  3 B 2.08-2.28
Ir4 0.5422 0.5153 0.6268 [1 per cell]  3 B 2.13-2.31
Ir5 0.7455 0.9151 0.5886 [1 per cell]  3 B 2.19-2.22
Ir6 0.9196 0.5132 0.1583 [1 per cell]  2 B 2.15-2.16

Summary:
Size of the total moment (μB per formula unit): 0.000
Raw total energy (eV for the cell shown): -76.5

=====

(4)
VASP calculation (PBE) on Li2SmTmS4 after structural relaxation.

Cell: 6.5819 3.9335 6.8143 Å, 90.00 110.16 90.00°
Closest atoms and distances in Å follow each position.
Space group P2/m (No. 10)
Symmetry-distinct sites (fractional):
Li1 0.0000 0.0000 0.0000 [1 per cell]  6 S 2.70-2.71
Li2 0.0000 0.5000 0.5000 [1 per cell]  6 S 2.77-2.78
Sm1 0.5000 0.0000 0.5000 [1 per cell]  6 S 2.78-2.79
Tm1 0.5000 0.5000 0.0000 [1 per cell]  6 S 2.71-2.72
S1 0.2470 0.5000 0.2410 [2 per cell]  1 Tm 2.71, 3 Li 2.71-2.78, 2 Sm 2.78
S2 0.2507 0.0000 0.7581 [2 per cell]  3 Li 2.70-2.77, 2 Tm 2.72, 1 Sm 2.79

Summary:
Size of the total moment (μB per formula unit): 0.000
Raw total energy (eV for the cell shown): -44.2
ΔE_f (raw) (eV per atom): -1.8287

=====

(5)
VASP calculation (PBE) on NpBiSb2 after structural relaxation.

Cell: 3.3889 3.3889 34.6912 Å, 90.00 90.00 120.00°
Closest atoms and distances in Å follow each position.
Space group R-3m (No. 166, hexagonal axes)
Symmetry-distinct sites (fractional):
Np1 0.0000 0.0000 0.0000 [3 per cell]  6 Sb 3.23, 6 Np 3.39
Bi1 0.0000 0.0000 0.5000 [3 per cell]  2 Sb 3.21, 6 Bi 3.39
Sb1 0.0000 0.0000 0.4075 [6 per cell]  1 Bi 3.21, 3 Np 3.23, 6 Sb 3.39

Summary:
Energy above the lowest structure with this stoichiometry (kJ per mole of atoms): 17.3
Size of the total moment (μB per formula unit): 4.088
Raw total energy (eV for the cell shown): -74.0
ΔE_f (raw) (eV per atom): 0.1013

=====

(6)
VASP calculation (PBE) on NaInSb3 after structural relaxation.

Cell: 5.4680 5.4680 5.4680 Å, 90.00 90.00 90.00°
Closest atoms and distances in Å follow each position.
Space group Pm-3m (No. 221)
Symmetry-distinct sites (fractional):
Na1 0.0000 0.0000 0.0000 [1 per cell]  6 Sb 2.73
In1 0.5000 0.5000 0.5000 [1 per cell]  12 Sb 3.87
Sb1 0.0000 0.0000 0.5000 [3 per cell]  2 Na 2.73

Summary:
Energy above the lowest structure with this stoichiometry (kJ per mole of atoms): 16.8
Size of the total moment (μB per formula unit): 0.000
Raw total energy (eV for the cell shown): -13.2
ΔE_f (raw) (eV per atom): 0.6406